a) CsSi2Ir2 (PBE, optimized geometry); space group = I4/mmm (139)
1.0
-2.070 2.070 7.190
2.070 -2.070 7.190
2.070 2.070 -7.190
Cs Si Ir
1 2 2
Direct
0.000 0.000 0.000 Cs
0.330 0.330 0.000 Si
0.670 0.670 0.000 Si
0.250 0.750 0.500 Ir
0.750 0.250 0.500 Ir


b) CsSi2Ir2 (PBE, optimized geometry); space group = I4/mmm (139)
1.0
-2.002 2.002 7.560
2.002 -2.002 7.560
2.002 2.002 -7.560
Cs Si Ir
1 2 2
Direct
0.000 0.000 0.000 Cs
0.250 0.750 0.500 Si
0.750 0.250 0.500 Si
0.333 0.333 0.000 Ir
0.667 0.667 0.000 Ir


c) CsSi2Ir2 (PBE, optimized geometry); space group = P4/mbm (127)
1.0
8.197 0.000 0.000
0.000 8.197 0.000
0.000 0.000 2.974
Cs Si Ir
2 4 4
Direct
0.000 0.000 0.000 Cs
0.500 0.500 0.000 Cs
0.119 0.381 0.000 Si
0.381 0.881 0.000 Si
0.619 0.119 0.000 Si
0.881 0.619 0.000 Si
0.125 0.625 0.500 Ir
0.375 0.125 0.500 Ir
0.625 0.875 0.500 Ir
0.875 0.375 0.500 Ir


Stability order, top to bottom: a), b), c)


a) CsSi3Ir (PBE, optimized geometry); space group = Pm-3m (221)
1.0
4.877 0.000 0.000
0.000 4.877 0.000
0.000 0.000 4.877
Cs Si Ir
1 3 1
Direct
0.000 0.000 0.000 Cs
0.000 0.500 0.500 Si
0.500 0.000 0.500 Si
0.500 0.500 0.000 Si
0.500 0.500 0.500 Ir


b) CsSi3Ir (PBE, optimized geometry); space group = Pm-3m (221)
1.0
5.188 0.000 0.000
0.000 5.188 0.000
0.000 0.000 5.188
Cs Si Ir
1 3 1
Direct
0.000 0.000 0.000 Cs
0.000 0.000 0.500 Si
0.000 0.500 0.000 Si
0.500 0.000 0.000 Si
0.500 0.500 0.500 Ir


Stability order, top to bottom: a), b)


a) CsSn2Ir (PBE, optimized geometry); space group = Fm-3m (225)
1.0
0.000 3.695 3.695
3.695 0.000 3.695
3.695 3.695 0.000
Cs Sn Ir
1 2 1
Direct
0.000 0.000 0.000 Cs
0.250 0.250 0.250 Sn
0.750 0.750 0.750 Sn
0.500 0.500 0.500 Ir


b) CsSn2Ir (PBE, optimized geometry); space group = R-3m (166)
1.0
2.226 1.285 7.510
-2.226 1.285 7.510
0.000 -2.570 7.510
Cs Sn Ir
1 2 1
Direct
0.000 0.000 0.000 Cs
0.207 0.207 0.207 Sn
0.793 0.793 0.793 Sn
0.500 0.500 0.500 Ir


c) CsSn2Ir (PBE, optimized geometry); space group = P4/mmm (123)
1.0
3.478 0.000 0.000
0.000 3.478 0.000
0.000 0.000 8.957
Cs Sn Ir
1 2 1
Direct
0.000 0.000 0.000 Cs
0.500 0.500 0.332 Sn
0.500 0.500 0.668 Sn
0.000 0.000 0.500 Ir


Stability order, top to bottom: b), c), a)


a) Cs2SrIr (PBE, optimized geometry); space group = I-42d (122)
1.0
-4.567 4.567 6.471
4.567 -4.567 6.471
4.567 4.567 -6.471
Cs Sr Ir
4 2 2
Direct
0.375 0.129 0.254 Cs
0.871 0.125 0.246 Cs
0.875 0.121 0.746 Cs
0.879 0.625 0.754 Cs
0.250 0.750 0.500 Sr
0.500 0.500 0.000 Sr
0.000 0.000 0.000 Ir
0.750 0.250 0.500 Ir


b) Cs2SrIr (PBE, optimized geometry); space group = Fm-3m (225)
1.0
0.000 4.147 4.147
4.147 0.000 4.147
4.147 4.147 0.000
Cs Sr Ir
2 1 1
Direct
0.250 0.250 0.250 Cs
0.750 0.750 0.750 Cs
0.000 0.000 0.000 Sr
0.500 0.500 0.500 Ir


Stability order, top to bottom: b), a)


a) CsSr3Ir (PBE, optimized geometry); space group = Pm-3m (221)
1.0
5.908 0.000 0.000
0.000 5.908 0.000
0.000 0.000 5.908
Cs Sr Ir
1 3 1
Direct
0.000 0.000 0.000 Cs
0.000 0.000 0.500 Sr
0.000 0.500 0.000 Sr
0.500 0.000 0.000 Sr
0.500 0.500 0.500 Ir


b) CsSr3Ir (PBE, optimized geometry); space group = Pm-3m (221)
1.0
6.113 0.000 0.000
0.000 6.113 0.000
0.000 0.000 6.113
Cs Sr Ir
1 3 1
Direct
0.000 0.000 0.000 Cs
0.000 0.500 0.500 Sr
0.500 0.000 0.500 Sr
0.500 0.500 0.000 Sr
0.500 0.500 0.500 Ir


Stability order, top to bottom: b), a)


a) CsTa3Ir (PBE, optimized geometry); space group = Pm-3m (221)
1.0
4.920 0.000 0.000
0.000 4.920 0.000
0.000 0.000 4.920
Cs Ta Ir
1 3 1
Direct
0.000 0.000 0.000 Cs
0.000 0.000 0.500 Ta
0.000 0.500 0.000 Ta
0.500 0.000 0.000 Ta
0.500 0.500 0.500 Ir


b) CsTa3Ir (PBE, optimized geometry); space group = Pm-3m (221)
1.0
5.044 0.000 0.000
0.000 5.044 0.000
0.000 0.000 5.044
Cs Ta Ir
1 3 1
Direct
0.000 0.000 0.000 Cs
0.000 0.500 0.500 Ta
0.500 0.000 0.500 Ta
0.500 0.500 0.000 Ta
0.500 0.500 0.500 Ir


Stability order, top to bottom: b), a)


a) CsTcIr3 (PBE, optimized geometry); space group = Pm-3m (221)
1.0
4.868 0.000 0.000
0.000 4.868 0.000
0.000 0.000 4.868
Cs Tc Ir
1 1 3
Direct
0.000 0.000 0.000 Cs
0.500 0.500 0.500 Tc
0.000 0.500 0.500 Ir
0.500 0.000 0.500 Ir
0.500 0.500 0.000 Ir


b) CsTcIr3 (PBE, optimized geometry); space group = Pm-3m (221)
1.0
4.876 0.000 0.000
0.000 4.876 0.000
0.000 0.000 4.876
Cs Tc Ir
1 1 3
Direct
0.000 0.000 0.000 Cs
0.500 0.500 0.500 Tc
0.000 0.000 0.500 Ir
0.000 0.500 0.000 Ir
0.500 0.000 0.000 Ir


Stability order, top to bottom: a), b)


a) Cs2TeIr2 (PBE, optimized geometry); space group = P4/mbm (127)
1.0
10.875 0.000 0.000
0.000 10.875 0.000
0.000 0.000 3.118
Cs Te Ir
4 2 4
Direct
0.198 0.302 0.000 Cs
0.302 0.802 0.000 Cs
0.698 0.198 0.000 Cs
0.802 0.698 0.000 Cs
0.000 0.000 0.000 Te
0.500 0.500 0.000 Te
0.075 0.575 0.500 Ir
0.425 0.075 0.500 Ir
0.575 0.925 0.500 Ir
0.925 0.425 0.500 Ir


b) Cs2TeIr2 (PBE, optimized geometry); space group = I4/mmm (139)
1.0
-1.804 1.804 12.119
1.804 -1.804 12.119
1.804 1.804 -12.119
Cs Te Ir
2 1 2
Direct
0.119 0.119 0.000 Cs
0.881 0.881 0.000 Cs
0.500 0.500 0.000 Te
0.250 0.750 0.500 Ir
0.750 0.250 0.500 Ir


Stability order, top to bottom: b), a)


a) CsTiIr2 (PBE, optimized geometry); space group = I-42d (122)
1.0
-2.710 2.710 7.885
2.710 -2.710 7.885
2.710 2.710 -7.885
Cs Ti Ir
2 2 4
Direct
0.000 0.000 0.000 Cs
0.750 0.250 0.500 Cs
0.250 0.750 0.500 Ti
0.500 0.500 0.000 Ti
0.338 0.625 0.213 Ir
0.375 0.588 0.713 Ir
0.412 0.125 0.787 Ir
0.875 0.662 0.287 Ir


b) CsTiIr2 (PBE, optimized geometry); space group = Fm-3m (225)
1.0
0.000 3.400 3.400
3.400 0.000 3.400
3.400 3.400 0.000
Cs Ti Ir
1 1 2
Direct
0.000 0.000 0.000 Cs
0.500 0.500 0.500 Ti
0.250 0.250 0.250 Ir
0.750 0.750 0.750 Ir


Stability order, top to bottom: a), b)


a) CsVIr3 (PBE, optimized geometry); space group = Pm-3m (221)
1.0
4.753 0.000 0.000
0.000 4.753 0.000
0.000 0.000 4.753
Cs V Ir
1 1 3
Direct
0.000 0.000 0.000 Cs
0.500 0.500 0.500 V
0.000 0.500 0.500 Ir
0.500 0.000 0.500 Ir
0.500 0.500 0.000 Ir


b) CsVIr3 (PBE, optimized geometry); space group = Pm-3m (221)
1.0
4.960 0.000 0.000
0.000 4.960 0.000
0.000 0.000 4.960
Cs V Ir
1 1 3
Direct
0.000 0.000 0.000 Cs
0.500 0.500 0.500 V
0.000 0.000 0.500 Ir
0.000 0.500 0.000 Ir
0.500 0.000 0.000 Ir


Stability order, top to bottom: a), b)


a) CsIr3W (PBE, optimized geometry); space group = Pm-3m (221)
1.0
4.918 0.000 0.000
0.000 4.918 0.000
0.000 0.000 4.918
Cs Ir W
1 3 1
Direct
0.000 0.000 0.000 Cs
0.000 0.500 0.500 Ir
0.500 0.000 0.500 Ir
0.500 0.500 0.000 Ir
0.500 0.500 0.500 W


b) CsIr3W (PBE, optimized geometry); space group = Pm-3m (221)
1.0
4.857 0.000 0.000
0.000 4.857 0.000
0.000 0.000 4.857
Cs Ir W
1 3 1
Direct
0.000 0.000 0.000 Cs
0.000 0.000 0.500 Ir
0.000 0.500 0.000 Ir
0.500 0.000 0.000 Ir
0.500 0.500 0.500 W


Stability order, top to bottom: a), b)


a) Cs2YIr (PBE, optimized geometry); space group = I-42d (122)
1.0
-6.627 6.627 2.607
6.627 -6.627 2.607
6.627 6.627 -2.607
Cs Y Ir
4 2 2
Direct
0.375 0.220 0.345 Cs
0.780 0.125 0.155 Cs
0.875 0.030 0.655 Cs
0.970 0.625 0.845 Cs
0.250 0.750 0.500 Y
0.500 0.500 0.000 Y
0.000 0.000 0.000 Ir
0.750 0.250 0.500 Ir


b) Cs2YIr (PBE, optimized geometry); space group = Fm-3m (225)
1.0
0.000 3.947 3.947
3.947 0.000 3.947
3.947 3.947 0.000
Cs Y Ir
2 1 1
Direct
0.250 0.250 0.250 Cs
0.750 0.750 0.750 Cs
0.000 0.000 0.000 Y
0.500 0.500 0.500 Ir


Stability order, top to bottom: a), b)


a) CsY3Ir (PBE, optimized geometry); space group = Pm-3m (221)
1.0
5.606 0.000 0.000
0.000 5.606 0.000
0.000 0.000 5.606
Cs Y Ir
1 3 1
Direct
0.000 0.000 0.000 Cs
0.000 0.500 0.500 Y
0.500 0.000 0.500 Y
0.500 0.500 0.000 Y
0.500 0.500 0.500 Ir


b) CsY3Ir (PBE, optimized geometry); space group = Pm-3m (221)
1.0
5.401 0.000 0.000
0.000 5.401 0.000
0.000 0.000 5.401
Cs Y Ir
1 3 1
Direct
0.000 0.000 0.000 Cs
0.000 0.000 0.500 Y
0.000 0.500 0.000 Y
0.500 0.000 0.000 Y
0.500 0.500 0.500 Ir


Stability order, top to bottom: a), b)